# LiHfTe | the Open Quantum Materials Database | PBE-GGA | optimized geometry
data_LiHfTe
_symmetry_space_group_name_H-M 'P 1'
_symmetry_Int_Tables_number 1
_symmetry_space_group_name_Hall 'P 1'
_cell_length_a 4.642
_cell_length_b 4.642
_cell_length_c 4.642
_cell_angle_alpha 60.00
_cell_angle_beta 60.00
_cell_angle_gamma 60.00
loop_
_atom_site_label
_atom_site_type_symbol
_atom_site_fract_x
_atom_site_fract_y
_atom_site_fract_z
Te1 Te 0.000 0.000 0.000
Hf1 Hf 0.250 0.250 0.250
Li1 Li 0.750 0.750 0.750
# - Total energy: -4.968 eV/atom
# - ΔE to the lowest computed polymorph: 0.0000 eV/atom
# - Calculated density: 7.4 g cm⁻³